Entry 1:
PmScGaPt | Alexandria | PBE-GGA | relaxed; raw total energy = -5.886 eV/atom; energy relative to the lowest polymorph listed for this composition = 0.0 kJ per mole of atoms; SG = Amm2, No. 38; magnetization = 0.0 μB/f.u.
1.0
-1.120 -3.434 -0.638
3.805 -1.507 1.430
-1.486 1.429 5.460
Pm Pt Ga Sc
1 1 1 1
Direct
0.848 0.500 0.697
0.581 0.500 0.162
0.434 0.000 0.869
0.136 0.000 0.272

Entry 2:
PmScGaPt2 | Alexandria | PBE-GGA | relaxed; raw total energy = -6.299 eV/atom; SG = I-4m2, No. 119; magnetization = 0.0 μB/f.u.
1.0
-2.976 0.519 2.772
-2.531 -2.267 -2.293
4.620 -4.198 2.714
Pt Ga Sc Pm
2 1 1 1
Direct
0.610 0.610 0.219
0.390 0.390 0.781
0.250 0.750 0.500
0.750 0.250 0.500
0.000 0.000 0.000

Entry 3:
PmScGa2Pt5 | Alexandria | PBE-GGA | relaxed; raw total energy = -6.080 eV/atom; SG = P4/mmm, No. 123; magnetization = 0.0 μB/f.u.
1.0
-3.637 -0.544 1.948
0.973 -3.984 0.704
4.003 2.417 8.147
Ga Sc Pt Pm
2 1 5 1
Direct
0.500 0.500 0.873
0.500 0.500 0.127
0.000 0.000 0.000
0.000 0.500 0.269
0.000 0.500 0.731
0.500 0.000 0.269
0.500 0.000 0.731
0.500 0.500 0.500
0.000 0.000 0.500

Entry 4:
PmScGaPt | Alexandria | PBE-GGA | relaxed; raw total energy = -5.822 eV/atom; energy relative to the lowest polymorph listed for this composition = 6.3 kJ per mole of atoms; SG = F-43m, No. 216; magnetization = 0.0 μB/f.u.
1.0
-1.757 0.861 -4.540
-1.190 -3.785 -2.949
-4.744 -0.933 -1.032
Ga Sc Pt Pm
1 1 1 1
Direct
0.000 0.000 0.000
0.250 0.250 0.250
0.500 0.500 0.500
0.750 0.750 0.750

Which of these has the highest raw total energy?
number 4